1.
VASP calculation (PBE-GGA) on a relaxed LiAcRu2O8 crystal.

## Properties
DFT total energy in eV/cell: -81.187
Space-group type: R-3

Cell: 7.131 7.131 7.131 Å, 42.05 42.05 42.05°
Fractional coordinates of all 12 atoms:
Li: 0.000 0.000 0.000
Ac: 0.500 0.500 0.500
Ru: 0.279 0.279 0.279
Ru: 0.721 0.721 0.721
O: 0.090 0.386 0.686
O: 0.183 0.183 0.183
O: 0.314 0.910 0.614
O: 0.386 0.686 0.090
O: 0.614 0.314 0.910
O: 0.686 0.090 0.386
O: 0.817 0.817 0.817
O: 0.910 0.614 0.314

***

2.
VASP calculation (PBE-GGA) on a relaxed LiAcS2O8 crystal.

## Properties
DFT total energy in eV/cell: -79.079
Space-group type: P-3

Cell: 5.195 5.195 7.090 Å, 90.00 90.00 120.00°
Fractional coordinates of all 12 atoms:
Li: 0.000 0.000 0.000
Ac: 0.000 0.000 0.500
S: 0.333 0.667 0.265
S: 0.667 0.333 0.735
O: 0.174 0.353 0.202
O: 0.179 0.826 0.202
O: 0.333 0.667 0.479
O: 0.353 0.179 0.798
O: 0.647 0.821 0.202
O: 0.667 0.333 0.521
O: 0.821 0.174 0.798
O: 0.826 0.647 0.798

***

Calculated ΔE_f (raw) (eV per formula unit), listed in the same order as above: -16.95 -25.14
Calculated magnetic moment (Bohr magnetons per cell), listed in the same order as above: 0.0 0.0